Density functional theory data (GGA-PBE) for Ca3Ce2TiAs6 after structural relaxation.

Cell lengths 7.1340, 7.1340, 7.2176 Å; angles 99.56, 99.56, 120.05 degrees
Last column: nearest neighbours and their distance in Å.
Element x y z (fractional)
Ce 0.6659 0.3341 0.0000  6 As 2.90
Ce 0.3341 0.6659 0.0000  6 As 2.90
As 0.0752 0.3883 0.2262  1 Ti 2.71, 2 Ce 2.90, 2 Ca 2.97
As 0.7645 0.7645 0.2275  1 Ti 2.71, 2 Ce 2.90, 2 Ca 2.99
As 0.2355 0.2355 0.7725  1 Ti 2.71, 2 Ce 2.90, 2 Ca 2.99
As 0.9248 0.6116 0.7738  1 Ti 2.71, 2 Ce 2.90, 2 Ca 2.97
As 0.3883 0.0752 0.2262  1 Ti 2.71, 2 Ce 2.90, 2 Ca 2.97
As 0.6116 0.9248 0.7738  1 Ti 2.71, 2 Ce 2.90, 2 Ca 2.97
Ca 0.8290 0.1710 0.5000  6 As 2.97-3.10
Ca 0.5000 0.5000 0.5000  6 As 2.97-3.14
Ca 0.1710 0.8290 0.5000  6 As 2.97-3.10
Ti 0.0000 0.0000 0.0000  6 As 2.71

Properties
Total DFT energy (no corrections) (Ry/atom): -0.4143
ΔE_f (kcal/mol of atoms): -26.87
SG: C2/m